RbGePPt4 after structural relaxation, computed with PBE.

```
data_RbGePPt4
_symmetry_space_group_name_H-M 'C 1 2/m 1'
_symmetry_Int_Tables_number 12
_symmetry_space_group_name_Hall '-C 2y'
_cell_length_a 15.816
_cell_length_b 5.874
_cell_length_c 6.662
_cell_angle_alpha 90.00
_cell_angle_beta 99.44
_cell_angle_gamma 90.00
loop_
_atom_site_label
_atom_site_fract_x
_atom_site_fract_y
_atom_site_fract_z
Rb1 0.083 0.000 0.201
Ge1 0.224 0.500 0.452
P1 0.071 0.500 0.774
Pt1 0.066 0.500 0.400
Pt2 0.168 0.500 0.078
Pt3 0.186 0.245 0.732
```

Output
- Calculated total energy: -149.7 eV per cell
- ρ: 10.55 g/cm³